(1)
Computed, not measured: a geometry-optimized GeAs structure at the PBE level of DFT.

The structure in CIF format:
```
data_GeAs
_symmetry_space_group_name_H-M 'C m c m'
_symmetry_Int_Tables_number 63
_symmetry_space_group_name_Hall '-C 2c 2'
_cell_length_a 5.277
_cell_length_b 6.081
_cell_length_c 5.322
_cell_angle_alpha 90.00
_cell_angle_beta 90.00
_cell_angle_gamma 90.00
loop_
_atom_site_label
_atom_site_type_symbol
_atom_site_fract_x
_atom_site_fract_y
_atom_site_fract_z
Ge1 Ge 0.000 0.168 0.250
As1 As 0.000 0.251 0.750
```

Properties
**ΔH_f (0 K)**: 0.15 eV/f.u.
**V**: 21.35 A^3/atom
**D(E_F)**: 2.27 states/eV per cell
**Total energy**: -4.5594 eV per atom
**Total magnetic moment**: 0.0000 μB per atom


(2)
Computed, not measured: a geometry-optimized Na2NbGa structure at the PBE level of DFT.

The structure in CIF format:
```
data_Na2NbGa
_symmetry_space_group_name_H-M 'I -4 2 d'
_symmetry_Int_Tables_number 122
_symmetry_space_group_name_Hall 'I -4 2bw'
_cell_length_a 8.449
_cell_length_b 8.449
_cell_length_c 5.451
_cell_angle_alpha 90.00
_cell_angle_beta 90.00
_cell_angle_gamma 90.00
loop_
_atom_site_label
_atom_site_type_symbol
_atom_site_fract_x
_atom_site_fract_y
_atom_site_fract_z
Na1 Na 0.218 0.250 0.125
Nb1 Nb 0.000 0.000 0.500
Ga1 Ga 0.000 0.000 0.000
```

Properties
**ΔH_f (0 K)**: 3.32 eV/f.u.
**V**: 24.32 A^3/atom
**D(E_F)**: 14.21 states/eV per cell
**Total energy**: -3.1030 eV per atom
**Total magnetic moment**: 0.6592 μB per atom


(3)
Computed, not measured: a geometry-optimized Ba2VPb structure at the PBE level of DFT.

The structure in CIF format:
```
data_Ba2VPb
_symmetry_space_group_name_H-M 'I -4 2 d'
_symmetry_Int_Tables_number 122
_symmetry_space_group_name_Hall 'I -4 2bw'
_cell_length_a 9.393
_cell_length_b 9.393
_cell_length_c 6.704
_cell_angle_alpha 90.00
_cell_angle_beta 90.00
_cell_angle_gamma 90.00
loop_
_atom_site_label
_atom_site_type_symbol
_atom_site_fract_x
_atom_site_fract_y
_atom_site_fract_z
Ba1 Ba 0.220 0.250 0.125
V1 V 0.000 0.000 0.000
Pb1 Pb 0.000 0.000 0.500
```

Properties
**ΔH_f (0 K)**: 2.15 eV/f.u.
**V**: 36.96 A^3/atom
**D(E_F)**: 18.88 states/eV per cell
**Total energy**: -3.6316 eV per atom
**Total magnetic moment**: 0.9542 μB per atom